1.
This record from the Alexandria database describes a relaxed SiGe2RhBr crystal. The functional is PBE.

Summary:
Formation energy from raw total energies (eV/atom): 0.5448
Total moment (μB/f.u.): 0.00
Energy (eV per atom): -4.192
Polymorph energy (0 for the lowest one) (eV/atom): 0.000
Space-group type: P4/mmm (123)

Unit cell a=4.704 b=5.394 c=4.704 alpha=90.00 beta=90.00 gamma=90.00
Sites, in units of the cell vectors:
Si: 0.500 0.500 0.500
Rh: 0.000 0.000 0.000
Ge: 0.500 0.000 0.000
Ge: 0.000 0.000 0.500
Br: 0.000 0.500 0.000

2.
This record from the Alexandria database describes a relaxed CaNi2W crystal. The functional is PBE.

Summary:
Total moment (μB/f.u.): 0.00
Energy (eV per atom): -6.308
Polymorph energy (0 for the lowest one) (eV/atom): 0.165
Space-group type: Cm (8)

Unit cell a=5.140 b=5.140 c=4.741 alpha=76.53 beta=76.53 gamma=30.15
Sites, in units of the cell vectors:
Ni: 0.730 0.730 0.698
Ni: 0.028 0.028 0.039
Ca: 0.268 0.268 0.187
W: 0.474 0.474 0.576

3.
This record from the Alexandria database describes a relaxed Y2SiBH crystal. The functional is PBE.

Summary:
Total moment (μB/f.u.): 0.00
Energy (eV per atom): -5.698
Space-group type: P4/mmm (123)

Unit cell a=5.021 b=3.165 c=5.021 alpha=90.00 beta=90.00 gamma=90.00
Sites, in units of the cell vectors:
Y: 0.500 0.000 0.000
Y: 0.000 0.000 0.500
H: 0.000 0.000 0.000
B: 0.000 0.500 0.000
Si: 0.500 0.500 0.500

4.
This record from the Alexandria database describes a relaxed La3CdGa3 crystal. The functional is PBE.

Summary:
Total moment (μB/f.u.): 0.00
Energy (eV per atom): -4.093
Space-group type: C2/m (12)

Unit cell a=4.689 b=6.160 c=14.217 alpha=82.76 beta=80.51 gamma=67.63
Sites, in units of the cell vectors:
Ga: 0.048 0.134 0.770
Ga: 0.952 0.866 0.230
Ga: 0.880 0.695 0.546
Ga: 0.108 0.853 0.932
Ga: 0.892 0.147 0.068
Ga: 0.120 0.305 0.454
La: 0.405 0.274 0.916
La: 0.539 0.300 0.621
La: 0.252 0.285 0.212
La: 0.748 0.715 0.788
La: 0.461 0.700 0.379
La: 0.595 0.726 0.084
Cd: 0.251 0.895 0.604
Cd: 0.749 0.105 0.396

The highest energy belongs to which entry?
La3CdGa3

Which formula does entry 1 have?
SiGe2RhBr

total moment of number 2 (CaNi2W)?
0.00 μB/f.u.

Please write out number 3 again, unchanged.
This record from the Alexandria database describes a relaxed Y2SiBH crystal. The functional is PBE.

Summary:
Total moment (μB/f.u.): 0.00
Energy (eV per atom): -5.698
Space-group type: P4/mmm (123)

Unit cell a=5.021 b=3.165 c=5.021 alpha=90.00 beta=90.00 gamma=90.00
Sites, in units of the cell vectors:
Y: 0.500 0.000 0.000
Y: 0.000 0.000 0.500
H: 0.000 0.000 0.000
B: 0.000 0.500 0.000
Si: 0.500 0.500 0.500